First-principles (PBE) data for a relaxed DyTh2Al4 crystal, as listed in Alexandria.

Results
The uncorrected energy comes out at -4.481 eV per atom. For the formation energy from the elements, the calculation gives 10.04 kcal/mol of atoms. For the density of states at the Fermi level, the calculation gives 1.082 states/eV per atom.

Unit cell a=5.144 b=5.144 c=15.667 alpha=90.00 beta=90.00 gamma=90.00
Space group I4/mmm (No. 139)
Unique sites:
Dy 0.000 0.000 0.000
Th 0.000 0.000 0.379
Al 0.000 0.000 0.181
Al 0.000 0.500 0.000

First-principles (PBE) data for a relaxed DyTh2Al2 crystal, as listed in Alexandria.

Results
The uncorrected energy comes out at -5.380 eV per atom. For the formation energy from the elements, the calculation gives 0.13 kcal/mol of atoms. The value obtained for the energy above the most stable polymorph in this dataset is 269.2 meV per atom. For the density of states at the Fermi level, the calculation gives 1.185 states/eV per atom.

Unit cell a=5.953 b=16.253 c=5.795 alpha=90.00 beta=90.00 gamma=90.00
Space group Cmcm (No. 63)
Unique sites:
Dy 0.000 0.000 0.000
Th 0.000 0.198 0.250
Th 0.000 0.392 0.750
Al 0.247 0.139 0.750

First-principles (PBE) data for a relaxed Dy3ThAl8 crystal, as listed in Alexandria.

Results
The uncorrected energy comes out at -4.755 eV per atom. For the formation energy from the elements, the calculation gives -11.32 kcal/mol of atoms. The value obtained for the energy above the most stable polymorph in this dataset is 0.0 meV per atom. For the density of states at the Fermi level, the calculation gives 0.813 states/eV per atom.

Unit cell a=5.5986 b=5.5986 c=27.4218 alpha=90.00 beta=90.00 gamma=120.00
Space group R3m (No. 160, hexagonal axes)
Unique sites:
Dy 0.0000 0.0000 0.0000
Dy 0.0000 0.0000 0.1246
Dy 0.0000 0.0000 0.4988
Th 0.0000 0.0000 0.6245
Al 0.0000 0.0000 0.3125
Al 0.0000 0.0000 0.8114
Al 0.0002 0.5001 0.0627
Al 0.1670 0.3340 0.8945

First-principles (PBE) data for a relaxed DyThAl3 crystal, as listed in Alexandria.

Results
The uncorrected energy comes out at -5.070 eV per atom. For the formation energy from the elements, the calculation gives -9.70 kcal/mol of atoms. For the density of states at the Fermi level, the calculation gives 0.613 states/eV per atom.

Unit cell a=4.243 b=26.462 c=4.323 alpha=90.00 beta=90.00 gamma=90.00
Space group Cmcm (No. 63)
Unique sites:
Dy 0.000 0.206 0.250
Th 0.000 0.073 0.750
Al 0.000 0.326 0.250
Al 0.000 0.380 0.750
Al 0.000 0.476 0.750

First-principles (PBE) data for a relaxed Dy7ThAl4 crystal, as listed in Alexandria.

Results
The uncorrected energy comes out at -4.564 eV per atom. For the formation energy from the elements, the calculation gives -0.32 kcal/mol of atoms. For the density of states at the Fermi level, the calculation gives 0.986 states/eV per atom.

Unit cell a=13.834 b=5.596 c=10.316 alpha=90.00 beta=124.33 gamma=90.00
Space group C2/m (No. 12)
Unique sites:
Dy 0.000 0.000 0.000
Dy 0.066 0.500 0.390
Dy 0.206 0.000 0.650
Dy 0.211 0.500 0.881
Th 0.000 0.500 0.000
Al 0.052 0.000 0.758
Al 0.178 0.000 0.333

First-principles (PBE) data for a relaxed Dy3ThAl2 crystal, as listed in Alexandria.

Results
The uncorrected energy comes out at -5.036 eV per atom. For the formation energy from the elements, the calculation gives -5.79 kcal/mol of atoms. For the density of states at the Fermi level, the calculation gives 0.755 states/eV per atom.

Unit cell a=3.542 b=3.542 c=12.481 alpha=90.00 beta=90.00 gamma=90.00
Space group P4/mmm (No. 123)
Unique sites:
Dy 0.000 0.000 0.000
Dy 0.000 0.000 0.302
Th 0.500 0.500 0.500
Al 0.500 0.500 0.152

First-principles (PBE) data for a relaxed DyThAl6 crystal, as listed in Alexandria.

Results
The uncorrected energy comes out at -4.727 eV per atom. For the formation energy from the elements, the calculation gives -9.63 kcal/mol of atoms. For the density of states at the Fermi level, the calculation gives 0.165 states/eV per atom.

Unit cell a=6.3985 b=6.3985 c=4.6463 alpha=90.00 beta=90.00 gamma=120.00
Space group P-6m2 (No. 187)
Unique sites:
Dy 0.0000 0.0000 0.0000
Th 0.3333 0.6667 0.5000
Al 0.3774 0.1887 0.5000
Al 0.5251 0.0503 0.0000

First-principles (PBE) data for a relaxed DyTh3Al8 crystal, as listed in Alexandria.

Results
The uncorrected energy comes out at -5.168 eV per atom. For the formation energy from the elements, the calculation gives -10.02 kcal/mol of atoms. For the density of states at the Fermi level, the calculation gives 0.673 states/eV per atom.

Unit cell a=5.6787 b=5.6787 c=27.7055 alpha=90.00 beta=90.00 gamma=120.00
Space group R3m (No. 160, hexagonal axes)
Unique sites:
Dy 0.0000 0.0000 0.0000
Th 0.0000 0.0000 0.1251
Th 0.0000 0.0000 0.4996
Th 0.0000 0.0000 0.6253
Al 0.0000 0.0000 0.3129
Al 0.0000 0.0000 0.8120
Al 0.0002 0.5001 0.5631
Al 0.1670 0.3340 0.3953

First-principles (PBE) data for a relaxed Dy3ThAl8 crystal, as listed in Alexandria.

Results
The uncorrected energy comes out at -4.742 eV per atom. For the formation energy from the elements, the calculation gives -11.02 kcal/mol of atoms. The value obtained for the energy above the most stable polymorph in this dataset is 12.8 meV per atom. For the density of states at the Fermi level, the calculation gives 0.673 states/eV per atom.

Unit cell a=5.5697 b=5.5697 c=9.2473 alpha=90.00 beta=90.00 gamma=120.00
Space group P3m1 (No. 156)
Unique sites:
Dy 0.0000 0.0000 0.0000
Dy 0.0000 0.0000 0.3651
Dy 0.3333 0.6667 0.8665
Th 0.3333 0.6667 0.5006
Al 0.0079 0.5040 0.1821
Al 0.3261 0.1630 0.6868
Al 0.6667 0.3333 0.4310
Al 0.6667 0.3333 0.9374

First-principles (PBE) data for a relaxed DyThAlTl crystal, as listed in Alexandria.

Results
The uncorrected energy comes out at -4.727 eV per atom. For the formation energy from the elements, the calculation gives -4.48 kcal/mol of atoms. For the density of states at the Fermi level, the calculation gives 1.011 states/eV per atom.

Unit cell a=7.554 b=7.554 c=7.554 alpha=90.00 beta=90.00 gamma=90.00
Space group F-43m (No. 216)
Unique sites:
Dy 0.000 0.000 0.000
Th 0.000 0.000 0.500
Al 0.250 0.250 0.250
Tl 0.250 0.250 0.750

First-principles (PBE) data for a relaxed DyTmThAl crystal, as listed in Alexandria.

Results
The uncorrected energy comes out at -5.096 eV per atom. For the formation energy from the elements, the calculation gives -0.85 kcal/mol of atoms. For the density of states at the Fermi level, the calculation gives 1.534 states/eV per atom.

Unit cell a=7.575 b=7.575 c=7.575 alpha=90.00 beta=90.00 gamma=90.00
Space group F-43m (No. 216)
Unique sites:
Dy 0.000 0.000 0.000
Tm 0.250 0.250 0.750
Th 0.000 0.000 0.500
Al 0.250 0.250 0.250

First-principles (PBE) data for a relaxed Dy2Th2Al4Zn crystal, as listed in Alexandria.

Results
The uncorrected energy comes out at -4.594 eV per atom. For the formation energy from the elements, the calculation gives -2.72 kcal/mol of atoms. For the density of states at the Fermi level, the calculation gives 0.790 states/eV per atom.

Unit cell a=6.959 b=6.959 c=9.003 alpha=90.00 beta=90.00 gamma=90.00
Space group I4/mmm (No. 139)
Unique sites:
Dy 0.000 0.000 0.194
Th 0.000 0.500 0.250
Al 0.246 0.246 0.500
Zn 0.000 0.000 0.500

First-principles (PBE) data for a relaxed DyTiAl2 crystal, as listed in Alexandria.

Results
The uncorrected energy comes out at -5.221 eV per atom. For the formation energy from the elements, the calculation gives -5.20 kcal/mol of atoms. The value obtained for the energy above the most stable polymorph in this dataset is 87.6 meV per atom. For the density of states at the Fermi level, the calculation gives 1.143 states/eV per atom.

Unit cell a=6.793 b=6.793 c=6.793 alpha=90.00 beta=90.00 gamma=90.00
Space group Fm-3m (No. 225)
Unique sites:
Dy 0.000 0.000 0.000
Ti 0.000 0.000 0.500
Al 0.250 0.250 0.250

First-principles (PBE) data for a relaxed DyTiAl2 crystal, as listed in Alexandria.

Results
The uncorrected energy comes out at -5.044 eV per atom. For the formation energy from the elements, the calculation gives -1.11 kcal/mol of atoms. The value obtained for the energy above the most stable polymorph in this dataset is 264.7 meV per atom. For the density of states at the Fermi level, the calculation gives 0.947 states/eV per atom.

Unit cell a=3.1450 b=3.1450 c=28.5672 alpha=90.00 beta=90.00 gamma=120.00
Space group R-3m (No. 166, hexagonal axes)
Unique sites:
Dy 0.0000 0.0000 0.0000
Ti 0.0000 0.0000 0.5000
Al 0.0000 0.0000 0.2419

First-principles (PBE) data for a relaxed DyTiAl2 crystal, as listed in Alexandria.

Results
The uncorrected energy comes out at -5.168 eV per atom. For the formation energy from the elements, the calculation gives -3.99 kcal/mol of atoms. The value obtained for the energy above the most stable polymorph in this dataset is 140.1 meV per atom. For the density of states at the Fermi level, the calculation gives 0.782 states/eV per atom.

Unit cell a=4.915 b=4.915 c=3.263 alpha=90.00 beta=90.00 gamma=90.00
Space group P4/mmm (No. 123)
Unique sites:
Dy 0.000 0.000 0.000
Ti 0.500 0.500 0.000
Al 0.000 0.500 0.500

First-principles (PBE) data for a relaxed DyTiAl2 crystal, as listed in Alexandria.

Results
The uncorrected energy comes out at -5.309 eV per atom. For the formation energy from the elements, the calculation gives -7.22 kcal/mol of atoms. The value obtained for the energy above the most stable polymorph in this dataset is 0.0 meV per atom. For the density of states at the Fermi level, the calculation gives 0.613 states/eV per atom.

Unit cell a=3.447 b=3.447 c=6.607 alpha=90.00 beta=90.00 gamma=90.00
Space group P4/mmm (No. 123)
Unique sites:
Dy 0.000 0.000 0.000
Ti 0.000 0.000 0.500
Al 0.500 0.500 0.295

First-principles (PBE) data for a relaxed DyTiAl crystal, as listed in Alexandria.

Results
The uncorrected energy comes out at -5.570 eV per atom. For the formation energy from the elements, the calculation gives -3.62 kcal/mol of atoms. The value obtained for the energy above the most stable polymorph in this dataset is 0.0 meV per atom. For the density of states at the Fermi level, the calculation gives 1.160 states/eV per atom.

Unit cell a=7.1983 b=7.1983 c=4.4909 alpha=90.00 beta=90.00 gamma=120.00
Space group P-62m (No. 189)
Unique sites:
Dy 0.0000 0.4325 0.0000
Ti 0.0000 0.7788 0.5000
Al 0.0000 0.0000 0.0000
Al 0.3333 0.6667 0.5000

First-principles (PBE) data for a relaxed DyTi6Al12 crystal, as listed in Alexandria.

Results
The uncorrected energy comes out at -5.047 eV per atom. For the formation energy from the elements, the calculation gives 1.20 kcal/mol of atoms. For the density of states at the Fermi level, the calculation gives 0.872 states/eV per atom.

Unit cell a=11.7363 b=11.7363 c=9.2613 alpha=90.00 beta=90.00 gamma=120.00
Space group R-3m (No. 166, hexagonal axes)
Unique sites:
Dy 0.0000 0.0000 0.0000
Ti 0.0631 0.5315 0.2249
Al 0.0000 0.3936 0.5000
Al 0.0789 0.1577 0.2845

First-principles (PBE) data for a relaxed DyTiAl crystal, as listed in Alexandria.

Results
The uncorrected energy comes out at -5.334 eV per atom. For the formation energy from the elements, the calculation gives 1.83 kcal/mol of atoms. The value obtained for the energy above the most stable polymorph in this dataset is 236.3 meV per atom. For the density of states at the Fermi level, the calculation gives 1.150 states/eV per atom.

Unit cell a=4.8916 b=4.8916 c=2.9762 alpha=90.00 beta=90.00 gamma=120.00
Space group P-6m2 (No. 187)
Unique sites:
Dy 0.0000 0.0000 0.0000
Ti 0.3333 0.6667 0.0000
Al 0.6667 0.3333 0.5000

First-principles (PBE) data for a relaxed DyTi2Al8 crystal, as listed in Alexandria.

Results
The uncorrected energy comes out at -4.796 eV per atom. For the formation energy from the elements, the calculation gives -5.08 kcal/mol of atoms. For the density of states at the Fermi level, the calculation gives 0.762 states/eV per atom.

Unit cell a=4.973 b=5.557 c=14.173 alpha=90.00 beta=90.00 gamma=90.00
Space group Immm (No. 71)
Unique sites:
Dy 0.000 0.000 0.000
Ti 0.000 0.500 0.179
Al 0.000 0.000 0.207
Al 0.000 0.263 0.365
Al 0.244 0.500 0.000